First-principles (PBE-GGA) data for RbVHgCl6 after structural relaxation, as listed in Alexandria.

Cell lengths 7.749, 13.546, 6.118 Å; angles 90.00, 90.26, 90.00 degrees
Space group C2 (No. 5)
Asymmetric unit:
1 Rb 0.000 0.000 0.000 x2
2 V 0.000 0.668 0.000 x2
3 Hg 0.000 0.335 0.500 x2
4 Cl 0.114 0.789 0.220 x4
5 Cl 0.125 0.551 0.220 x4
6 Cl 0.240 0.665 0.784 x4

Calculated density ... 2843 kg/m3
Raw formation energy ... -1.068 eV per atom

***

First-principles (PBE-GGA) data for RbYHg2Cl8 after structural relaxation, as listed in Alexandria.

Cell lengths 6.725, 6.900, 9.256 Å; angles 71.09, 80.43, 85.20 degrees
Space group P-1 (No. 2)
Asymmetric unit:
1 Rb 0.000 0.000 0.000 x1
2 Y 0.000 0.000 0.500 x1
3 Hg 0.472 0.465 0.233 x2
4 Cl 0.132 0.736 0.745 x2
5 Cl 0.198 0.809 0.318 x2
6 Cl 0.326 0.235 0.475 x2
7 Cl 0.412 0.265 0.995 x2

Calculated density ... 3563 kg/m3
Raw formation energy ... -1.362 eV per atom

***

First-principles (PBE-GGA) data for RbZnHgCl5 after structural relaxation, as listed in Alexandria.

Cell lengths 9.079, 12.256, 9.317 Å; angles 90.00, 111.93, 90.00 degrees
Space group C2/c (No. 15)
Asymmetric unit:
1 Rb 0.000 0.146 0.250 x4
2 Zn 0.000 0.189 0.750 x4
3 Hg 0.000 0.500 0.000 x4
4 Cl 0.000 0.418 0.250 x4
5 Cl 0.115 0.294 0.616 x8
6 Cl 0.178 0.079 0.935 x8

Calculated density ... 3652 kg/m3
Raw formation energy ... -1.152 eV per atom

***

First-principles (PBE-GGA) data for RbZn2HgCl8 after structural relaxation, as listed in Alexandria.

Cell lengths 6.4163, 6.4163, 28.7486 Å; angles 90.00, 90.00, 120.00 degrees
Space group R-3 (No. 148, hexagonal axes)
Asymmetric unit:
1 Rb 0.0000 0.0000 0.0000 x3
2 Zn 0.0000 0.0000 0.2447 x6
3 Hg 0.0000 0.0000 0.5000 x3
4 Cl 0.0000 0.0000 0.3236 x6
5 Cl 0.0047 0.6801 0.1112 x18

Calculated density ... 3405 kg/m3
Raw formation energy ... -0.965 eV per atom

***

First-principles (PBE-GGA) data for Rb2ZnHgCl after structural relaxation, as listed in Alexandria.

Cell lengths 6.818, 6.818, 4.989 Å; angles 90.00, 90.00, 90.00 degrees
Space group P4/mmm (No. 123)
Asymmetric unit:
1 Rb 0.000 0.500 0.000 x2
2 Zn 0.000 0.000 0.500 x1
3 Hg 0.000 0.000 0.000 x1
4 Cl 0.500 0.500 0.500 x1

Calculated density ... 3383 kg/m3
Raw formation energy ... -0.479 eV per atom

***

First-principles (PBE-GGA) data for Rb2ZrHgCl6 after structural relaxation, as listed in Alexandria.

Cell lengths 8.0179, 8.0179, 21.8635 Å; angles 90.00, 90.00, 120.00 degrees
Space group R3 (No. 146, hexagonal axes)
Asymmetric unit:
1 Rb 0.0000 0.0000 0.0000 x3
2 Rb 0.0000 0.0000 0.4737 x3
3 Zr 0.0000 0.0000 0.6684 x3
4 Hg 0.0000 0.0000 0.1797 x3
5 Cl 0.0184 0.7590 0.6004 x9
6 Cl 0.0820 0.4050 0.3999 x9

Calculated density ... 2764 kg/m3
Excess energy over the best structure of this formula in the dataset ... 0.0000 eV/atom
Raw formation energy ... -1.718 eV per atom